# 1
This record from Alexandria describes Ba5Mg18Si13 after structural relaxation. The functional is PBEsol.

The volume is 804 Å³/cell. For the density of states at the Fermi level, the calculation gives 0.11 states/eV per atom. Its formation energy (no corrections) is -0.311 eV/atom. The value obtained for the density is 3.07 Mg/m³. The total energy is -0.13022 Ha/atom.

Geometry as CIF:
```
data_Ba5Mg18Si13
_chemical_formula_sum 'Ba5 Mg18 Si13'
_symmetry_space_group_name_H-M 'P -6 2 m'
_symmetry_Int_Tables_number 189
_symmetry_space_group_name_Hall 'P -6 -2'
_cell_length_a 14.4367
_cell_length_b 14.4367
_cell_length_c 4.4568
_cell_angle_alpha 90.00
_cell_angle_beta 90.00
_cell_angle_gamma 120.00
loop_
_atom_site_label
_atom_site_type_symbol
_atom_site_fract_x
_atom_site_fract_y
_atom_site_fract_z
Ba1 Ba 0.0000 0.1804 0.0000
Ba2 Ba 0.3333 0.6667 0.5000
Mg1 Mg 0.0000 0.5584 0.5000
Mg2 Mg 0.0000 0.7228 0.0000
Mg3 Mg 0.1220 0.4828 0.0000
Mg4 Mg 0.1776 0.8051 0.5000
Si1 Si 0.0000 0.0000 0.5000
Si2 Si 0.0000 0.3697 0.5000
Si3 Si 0.0000 0.8344 0.5000
Si4 Si 0.1664 0.6908 0.0000
```


# 2
This record from Alexandria describes NaSc3Al after structural relaxation. The functional is PBEsol.

The volume is 125 Å³/cell. For the density of states at the Fermi level, the calculation gives 1.17 states/eV per atom. For the formation energy, the calculation gives 1.02 eV per atom. The value obtained for the density is 2.46 Mg/m³. The total energy is -0.14866 Ha/atom.

Geometry as CIF:
```
data_NaSc3Al
_chemical_formula_sum 'Na1 Sc3 Al1'
_symmetry_space_group_name_H-M 'P m -3 m'
_symmetry_Int_Tables_number 221
_symmetry_space_group_name_Hall '-P 4 2 3'
_cell_length_a 4.996
_cell_length_b 4.996
_cell_length_c 4.996
_cell_angle_alpha 90.00
_cell_angle_beta 90.00
_cell_angle_gamma 90.00
loop_
_atom_site_label
_atom_site_type_symbol
_atom_site_fract_x
_atom_site_fract_y
_atom_site_fract_z
Na1 Na 0.000 0.000 0.000
Sc1 Sc 0.000 0.000 0.500
Al1 Al 0.500 0.500 0.500
```


# 3
This record from Alexandria describes Cu2TeW after structural relaxation. The functional is PBEsol.

The volume is 61 Å³/cell. For the density of states at the Fermi level, the calculation gives 0.30 states/eV per atom. Its formation energy (no corrections) is 0.390 eV/atom. The value obtained for the density is 11.93 Mg/m³. The total energy is -0.22457 Ha/atom.

Geometry as CIF:
```
data_Cu2TeW
_chemical_formula_sum 'Cu2 Te1 W1'
_symmetry_space_group_name_H-M 'P 4 m m'
_symmetry_Int_Tables_number 99
_symmetry_space_group_name_Hall 'P 4 -2'
_cell_length_a 3.237
_cell_length_b 3.237
_cell_length_c 5.828
_cell_angle_alpha 90.00
_cell_angle_beta 90.00
_cell_angle_gamma 90.00
loop_
_atom_site_label
_atom_site_type_symbol
_atom_site_fract_x
_atom_site_fract_y
_atom_site_fract_z
Cu1 Cu 0.000 0.000 0.000
Cu2 Cu 0.500 0.500 0.183
Te1 Te 0.000 0.000 0.477
W1 W 0.500 0.500 0.738
```


# 4
This record from Alexandria describes In2ReIr after structural relaxation. The functional is PBEsol.

The volume is 137 Å³/cell. For the density of states at the Fermi level, the calculation gives 0.48 states/eV per atom. For the formation energy, the calculation gives 0.48 eV per atom. The value obtained for the density is 14.77 Mg/m³. The total energy is -0.25001 Ha/atom.

Geometry as CIF:
```
data_In2ReIr
_chemical_formula_sum 'In4 Re2 Ir2'
_symmetry_space_group_name_H-M 'C 1 2/m 1'
_symmetry_Int_Tables_number 12
_symmetry_space_group_name_Hall '-C 2y'
_cell_length_a 5.917
_cell_length_b 9.028
_cell_length_c 2.864
_cell_angle_alpha 90.00
_cell_angle_beta 116.70
_cell_angle_gamma 90.00
loop_
_atom_site_label
_atom_site_type_symbol
_atom_site_fract_x
_atom_site_fract_y
_atom_site_fract_z
In1 In 0.250 0.250 0.000
Re1 Re 0.000 0.000 0.500
Ir1 Ir 0.000 0.500 0.500
```